The following is a PBE+U calculation of a relaxed Ca2CrAg2O6 crystal, from Alexandria.

abc: 5.744 5.744 6.305
angles: 93.91 93.91 120.56
Atoms (fractional coordinates):
Ca  0.167  0.833  0.000
Ca  0.833  0.167  0.000
Cr  0.500  0.500  0.000
Ag  0.350  0.650  0.500
Ag  0.650  0.350  0.500
O  0.217  0.217  0.846
O  0.248  0.530  0.172
O  0.470  0.752  0.828
O  0.530  0.248  0.172
O  0.752  0.470  0.828
O  0.783  0.783  0.154

Output
- DFT total energy (eV for the cell shown) = -62.81
- total magnetization (μB/f.u.) = 0.00
- crystal system = monoclinic